DFT (PBE) results for a relaxed CsMgH2 crystal.

a b c (Å): 4.203 4.203 4.602
angles (deg): 90.00 90.00 90.00
Fractional coordinates of all 4 atoms:
Cs1 0.500 0.500 0.000
Mg1 0.000 0.000 0.500
H1 0.000 0.500 0.500
H2 0.500 0.000 0.500

DOS at the Fermi energy	1.43	states/eV/cell
symmetry	P4/mmm, No. 123



DFT (PBE) results for a relaxed Pm2CrP crystal.

a b c (Å): 3.760 4.967 4.967
angles (deg): 90.00 90.00 90.00
Each line ends with the local moment (μB).
Fractional coordinates of all 4 atoms:
Cr1 0.500 0.500 0.500  3.60
P1 0.500 0.000 0.000  0.05
Pm1 0.000 0.000 0.500  -0.14
Pm2 0.000 0.500 0.000  -0.14

DOS at the Fermi energy	2.71	states/eV/cell
symmetry	P4/mmm, No. 123



DFT (PBE) results for a relaxed TiZn3Br crystal.

a b c (Å): 5.287 5.287 5.287
angles (deg): 90.00 90.00 90.00
Each line ends with the local moment (μB).
Fractional coordinates of all 5 atoms:
Zn1 0.000 0.500 0.000  0.07
Zn2 0.000 0.000 0.500  0.02
Zn3 0.500 0.000 0.000  0.11
Br1 0.500 0.500 0.500  0.03
Ti1 0.000 0.000 0.000  1.76

DOS at the Fermi energy	9.97	states/eV/cell
symmetry	Pm-3m, No. 221



DFT (PBE) results for a relaxed NdPuAsAu crystal.

a b c (Å): 5.173 5.173 5.173
angles (deg): 60.00 60.00 60.00
Each line ends with the local moment (μB).
Fractional coordinates of all 4 atoms:
Nd1 0.250 0.250 0.250  0.39
As1 0.500 0.500 0.500  -0.06
Au1 0.000 0.000 0.000  0.09
Pu1 0.750 0.750 0.750  5.62

DOS at the Fermi energy	10.64	states/eV/cell
symmetry	F-43m, No. 216



DFT (PBE) results for a relaxed ScSiSnHg2 crystal.

a b c (Å): 5.440 5.077 5.440
angles (deg): 90.00 90.00 90.00
Fractional coordinates of all 5 atoms:
Sc1 0.000 0.000 0.000
Si1 0.000 0.500 0.000
Hg1 0.000 0.000 0.500
Hg2 0.500 0.000 0.000
Sn1 0.500 0.500 0.500

DOS at the Fermi energy	3.68	states/eV/cell
symmetry	P4/mmm, No. 123



DFT (PBE) results for a relaxed PaAlFeRe crystal.

a b c (Å): 4.548 4.548 4.548
angles (deg): 60.00 60.00 60.00
Fractional coordinates of all 4 atoms:
Re1 0.000 0.000 0.000
Pa1 0.250 0.250 0.250
Fe1 0.500 0.500 0.500
Al1 0.750 0.750 0.750

DOS at the Fermi energy	2.38	states/eV/cell
symmetry	F-43m, No. 216



DFT (PBE) results for a relaxed Pu2ZnIr3 crystal.

a b c (Å): 4.625 5.363 5.855
angles (deg): 117.26 113.27 90.00
Each line ends with the local moment (μB).
Fractional coordinates of all 6 atoms:
Pu1 0.680 0.180 0.360  4.67
Pu2 0.320 0.820 0.640  4.67
Zn1 0.000 0.500 0.000  0.02
Ir1 0.358 0.358 0.716  -0.36
Ir2 0.000 0.000 0.000  -0.29
Ir3 0.642 0.642 0.284  -0.36

DOS at the Fermi energy	14.62	states/eV/cell
symmetry	Immm, No. 71



DFT (PBE) results for a relaxed SnAsBr crystal.

a b c (Å): 6.281 5.939 6.283
angles (deg): 103.84 86.46 76.21
Fractional coordinates of all 6 atoms:
Sn1 0.297 0.328 0.042
Sn2 0.950 0.830 0.692
Br1 0.998 0.831 0.264
Br2 0.521 0.827 0.735
As1 0.895 0.288 0.900
As2 0.158 0.372 0.639

symmetry	P1, No. 1



Number 1: total DFT energy (no corrections) -2.296 eV/atom. Number 2: total DFT energy (no corrections) -6.389 eV/atom. Number 3: total DFT energy (no corrections) -2.021 eV/atom. Number 4: total DFT energy (no corrections) -7.508 eV/atom. Number 5: total DFT energy (no corrections) -2.769 eV/atom. Number 6: total DFT energy (no corrections) -8.644 eV/atom. Number 7: total DFT energy (no corrections) -9.593 eV/atom. Number 8: total DFT energy (no corrections) -3.682 eV/atom.